No. 1
The following is a DFT calculation (PBE) of a relaxed Hf2Cd2Re crystal.

```
data_Hf2Cd2Re
_symmetry_space_group_name_H-M 'I 4/m m m'
_symmetry_Int_Tables_number 139
_symmetry_space_group_name_Hall '-I 4 2'
_cell_length_a 3.5995
_cell_length_b 3.5995
_cell_length_c 16.9928
_cell_angle_alpha 90.00
_cell_angle_beta 90.00
_cell_angle_gamma 90.00
loop_
_atom_site_label
_atom_site_fract_x
_atom_site_fract_y
_atom_site_fract_z
Hf1 0.0000 0.0000 0.0861
Cd1 0.0000 0.5000 0.2500
Re1 0.0000 0.0000 0.5000
```

Values from the calculation:
ΔE to the lowest computed polymorph	0	meV/atom
V	110	Å³/f.u.
energy relative to the elements	0.4417	eV per atom
E	-64.0	eV/cell


No. 2
The following is a DFT calculation (PBE) of a relaxed Nb2GaBi crystal.

```
data_Nb2GaBi
_symmetry_space_group_name_H-M 'F m -3 m'
_symmetry_Int_Tables_number 225
_symmetry_space_group_name_Hall '-F 4 2 3'
_cell_length_a 6.7722
_cell_length_b 6.7722
_cell_length_c 6.7722
_cell_angle_alpha 90.00
_cell_angle_beta 90.00
_cell_angle_gamma 90.00
loop_
_atom_site_label
_atom_site_fract_x
_atom_site_fract_y
_atom_site_fract_z
Nb1 0.2500 0.2500 0.2500
Ga1 0.0000 0.0000 0.0000
Bi1 0.0000 0.0000 0.5000
```

Values from the calculation:
ΔE to the lowest computed polymorph	0	meV/atom
V	78	Å³/f.u.
energy relative to the elements	0.2438	eV per atom
E	-104.3	eV/cell


No. 3
The following is a DFT calculation (PBE) of a relaxed HoCdAu4 crystal.

```
data_HoCdAu4
_symmetry_space_group_name_H-M 'P 4/m m m'
_symmetry_Int_Tables_number 123
_symmetry_space_group_name_Hall '-P 4 2'
_cell_length_a 4.6508
_cell_length_b 4.6508
_cell_length_c 6.7008
_cell_angle_alpha 90.00
_cell_angle_beta 90.00
_cell_angle_gamma 90.00
loop_
_atom_site_label
_atom_site_fract_x
_atom_site_fract_y
_atom_site_fract_z
Ho1 0.0000 0.0000 0.0000
Cd1 0.5000 0.5000 0.5000
Au1 0.0000 0.5000 0.2631
```

Values from the calculation:
V	145	Å³/f.u.
energy relative to the elements	-0.2640	eV per atom
E	-20.2	eV/cell


No. 4
The following is a DFT calculation (PBE) of a relaxed HgP2 crystal.

```
data_HgP2
_symmetry_space_group_name_H-M 'P -1'
_symmetry_Int_Tables_number 2
_symmetry_space_group_name_Hall '-P 1'
_cell_length_a 3.2946
_cell_length_b 4.4308
_cell_length_c 5.1859
_cell_angle_alpha 74.16
_cell_angle_beta 89.81
_cell_angle_gamma 68.19
loop_
_atom_site_label
_atom_site_fract_x
_atom_site_fract_y
_atom_site_fract_z
Hg1 0.0000 0.0000 0.0000
P1 0.2789 0.4433 0.3767
```

Values from the calculation:
V	67	Å³/f.u.
energy relative to the elements	0.0860	eV per atom
E	-10.9	eV/cell


No. 5
The following is a DFT calculation (PBE) of a relaxed K4Th3TlTe8 crystal.

```
data_K4Th3TlTe8
_symmetry_space_group_name_H-M 'R -3 m'
_symmetry_Int_Tables_number 166
_symmetry_space_group_name_Hall '-R 3 2"'
_cell_length_a 9.3738
_cell_length_b 9.3738
_cell_length_c 24.4424
_cell_angle_alpha 90.00
_cell_angle_beta 90.00
_cell_angle_gamma 120.00
loop_
_atom_site_label
_atom_site_fract_x
_atom_site_fract_y
_atom_site_fract_z
K1 0.0000 0.0000 0.0000
K2 0.0000 0.5000 0.0000
Th1 0.0000 0.5000 0.5000
Tl1 0.0000 0.0000 0.5000
Te1 0.0000 0.0000 0.2382
Te2 0.0195 0.5098 0.7621
```

Values from the calculation:
V	620	Å³/f.u.
E_form (uncorrected)	-108.41	kJ per mole of atoms
E	-216.4	eV/cell


No. 6
The following is a DFT calculation (PBE) of a relaxed Pm2Y2Tm3 crystal.

```
data_Pm2Y2Tm3
_symmetry_space_group_name_H-M 'I 21 3'
_symmetry_Int_Tables_number 199
_symmetry_space_group_name_Hall 'I 2b 2c 3'
_cell_length_a 9.7103
_cell_length_b 9.7103
_cell_length_c 9.7103
_cell_angle_alpha 90.00
_cell_angle_beta 90.00
_cell_angle_gamma 90.00
loop_
_atom_site_label
_atom_site_fract_x
_atom_site_fract_y
_atom_site_fract_z
Pm1 0.0934 0.4066 0.5934
Y1 0.2062 0.2062 0.2062
Tm1 0.0000 0.2500 0.9420
```

Values from the calculation:
ΔE to the lowest computed polymorph	46	meV/atom
V	229	Å³/f.u.
energy relative to the elements	0.2288	eV per atom
E	-137.0	eV/cell


No. 7
The following is a DFT calculation (PBE) of a relaxed MgCuBi crystal.

```
data_MgCuBi
_symmetry_space_group_name_H-M 'I 4 m m'
_symmetry_Int_Tables_number 107
_symmetry_space_group_name_Hall 'I 4 -2'
_cell_length_a 3.8377
_cell_length_b 3.8377
_cell_length_c 8.8297
_cell_angle_alpha 90.00
_cell_angle_beta 90.00
_cell_angle_gamma 90.00
loop_
_atom_site_label
_atom_site_fract_x
_atom_site_fract_y
_atom_site_fract_z
Mg1 0.0000 0.0000 0.0000
Cu1 0.0000 0.0000 0.6697
Bi1 0.0000 0.0000 0.3288
```

Values from the calculation:
V	65	Å³/f.u.
energy relative to the elements	0.1154	eV per atom
E	-18.5	eV/cell


No. 8
The following is a DFT calculation (PBE) of a relaxed CePmNp2Sb4 crystal.

```
data_CePmNp2Sb4
_symmetry_space_group_name_H-M 'P 1 2/m 1'
_symmetry_Int_Tables_number 10
_symmetry_space_group_name_Hall '-P 2y'
_cell_length_a 7.6847
_cell_length_b 4.4263
_cell_length_c 7.7599
_cell_angle_alpha 90.00
_cell_angle_beta 109.17
_cell_angle_gamma 90.00
loop_
_atom_site_label
_atom_site_fract_x
_atom_site_fract_y
_atom_site_fract_z
Ce1 0.0000 0.0000 0.0000
Pm1 0.0000 0.5000 0.5000
Np1 0.5000 0.0000 0.5000
Np2 0.5000 0.5000 0.0000
Sb1 0.2551 0.5000 0.2514
Sb2 0.2566 0.0000 0.7523
```

Values from the calculation:
V	249	Å³/f.u.
E_form (uncorrected)	-61.28	kJ per mole of atoms
E	-58.1	eV/cell


No. 9
The following is a DFT calculation (PBE) of a relaxed Ba2LiTeO crystal.

```
data_Ba2LiTeO
_symmetry_space_group_name_H-M 'P 4/m m m'
_symmetry_Int_Tables_number 123
_symmetry_space_group_name_Hall '-P 4 2'
_cell_length_a 5.6354
_cell_length_b 5.6354
_cell_length_c 4.2989
_cell_angle_alpha 90.00
_cell_angle_beta 90.00
_cell_angle_gamma 90.00
loop_
_atom_site_label
_atom_site_fract_x
_atom_site_fract_y
_atom_site_fract_z
Ba1 0.0000 0.5000 0.0000
Li1 0.0000 0.0000 0.5000
Te1 0.5000 0.5000 0.5000
O1 0.0000 0.0000 0.0000
```

Values from the calculation:
V	137	Å³/f.u.
E_form (uncorrected)	-153.04	kJ per mole of atoms
E	-21.8	eV/cell


No. 10
The following is a DFT calculation (PBE) of a relaxed Sr3VBi crystal.

```
data_Sr3VBi
_symmetry_space_group_name_H-M 'P m -3 m'
_symmetry_Int_Tables_number 221
_symmetry_space_group_name_Hall '-P 4 2 3'
_cell_length_a 6.3342
_cell_length_b 6.3342
_cell_length_c 6.3342
_cell_angle_alpha 90.00
_cell_angle_beta 90.00
_cell_angle_gamma 90.00
loop_
_atom_site_label
_atom_site_fract_x
_atom_site_fract_y
_atom_site_fract_z
Sr1 0.0000 0.0000 0.5000
V1 0.5000 0.5000 0.5000
Bi1 0.0000 0.0000 0.0000
```

Values from the calculation:
ΔE to the lowest computed polymorph	0	meV/atom
V	254	Å³/f.u.
energy relative to the elements	0.3906	eV per atom
E	-16.1	eV/cell


No. 11
The following is a DFT calculation (PBE) of a relaxed GaTcPdPt2 crystal.

```
data_GaTcPdPt2
_symmetry_space_group_name_H-M 'P 4/m m m'
_symmetry_Int_Tables_number 123
_symmetry_space_group_name_Hall '-P 4 2'
_cell_length_a 4.9488
_cell_length_b 4.9488
_cell_length_c 4.6083
_cell_angle_alpha 90.00
_cell_angle_beta 90.00
_cell_angle_gamma 90.00
loop_
_atom_site_label
_atom_site_fract_x
_atom_site_fract_y
_atom_site_fract_z
Ga1 0.0000 0.0000 0.0000
Tc1 0.5000 0.5000 0.0000
Pd1 0.5000 0.5000 0.5000
Pt1 0.0000 0.5000 0.5000
```

Values from the calculation:
V	113	Å³/f.u.
energy relative to the elements	1.3871	eV per atom
E	-23.7	eV/cell


No. 12
The following is a DFT calculation (PBE) of a relaxed Y3Zn2Cu4 crystal.

```
data_Y3Zn2Cu4
_symmetry_space_group_name_H-M 'C 1 2/m 1'
_symmetry_Int_Tables_number 12
_symmetry_space_group_name_Hall '-C 2y'
_cell_length_a 10.3143
_cell_length_b 4.3088
_cell_length_c 8.3635
_cell_angle_alpha 90.00
_cell_angle_beta 112.89
_cell_angle_gamma 90.00
loop_
_atom_site_label
_atom_site_fract_x
_atom_site_fract_y
_atom_site_fract_z
Y1 0.0000 0.0000 0.0000
Y2 0.1480 0.5000 0.6873
Zn1 0.1451 0.5000 0.3104
Cu1 0.0788 0.0000 0.4127
Cu2 0.2255 0.5000 0.0610
```

Values from the calculation:
V	171	Å³/f.u.
energy relative to the elements	-0.2936	eV per atom
E	-81.9	eV/cell


No. 13
The following is a DFT calculation (PBE) of a relaxed BaPS2Cl crystal.

```
data_BaPS2Cl
_symmetry_space_group_name_H-M 'P 4/m m m'
_symmetry_Int_Tables_number 123
_symmetry_space_group_name_Hall '-P 4 2'
_cell_length_a 6.1029
_cell_length_b 6.1029
_cell_length_c 6.3623
_cell_angle_alpha 90.00
_cell_angle_beta 90.00
_cell_angle_gamma 90.00
loop_
_atom_site_label
_atom_site_fract_x
_atom_site_fract_y
_atom_site_fract_z
Ba1 0.0000 0.0000 0.0000
P1 0.0000 0.0000 0.5000
S1 0.0000 0.5000 0.0000
Cl1 0.5000 0.5000 0.5000
```

Values from the calculation:
ΔE to the lowest computed polymorph	1803	meV/atom
V	237	Å³/f.u.
E_form (uncorrected)	84.08	kJ per mole of atoms
E	-13.1	eV/cell


No. 14
The following is a DFT calculation (PBE) of a relaxed NaRuS3 crystal.

```
data_NaRuS3
_symmetry_space_group_name_H-M 'P m -3 m'
_symmetry_Int_Tables_number 221
_symmetry_space_group_name_Hall '-P 4 2 3'
_cell_length_a 4.7919
_cell_length_b 4.7919
_cell_length_c 4.7919
_cell_angle_alpha 90.00
_cell_angle_beta 90.00
_cell_angle_gamma 90.00
loop_
_atom_site_label
_atom_site_fract_x
_atom_site_fract_y
_atom_site_fract_z
Na1 0.0000 0.0000 0.0000
Ru1 0.5000 0.5000 0.5000
S1 0.0000 0.0000 0.5000
```

Values from the calculation:
ΔE to the lowest computed polymorph	1487	meV/atom
V	110	Å³/f.u.
E_form (uncorrected)	141.54	kJ per mole of atoms
E	-15.6	eV/cell


No. 15
The following is a DFT calculation (PBE) of a relaxed LaP3H6O12 crystal.

```
data_LaP3H6O12
_symmetry_space_group_name_H-M 'P -6'
_symmetry_Int_Tables_number 174
_symmetry_space_group_name_Hall 'P -6'
_cell_length_a 6.8045
_cell_length_b 6.8045
_cell_length_c 6.2069
_cell_angle_alpha 90.00
_cell_angle_beta 90.00
_cell_angle_gamma 120.00
loop_
_atom_site_label
_atom_site_fract_x
_atom_site_fract_y
_atom_site_fract_z
La1 0.0000 0.0000 0.0000
P1 0.3886 0.1106 0.5000
H1 0.0400 0.5470 0.1243
O1 0.0369 0.6341 0.0000
O2 0.2705 0.0108 0.2909
O3 0.4787 0.3798 0.5000
```

Values from the calculation:
V	249	Å³/f.u.
E	-142.8	eV/cell


No. 16
The following is a DFT calculation (PBE) of a relaxed Nd2Tl3ZnSe6 crystal.

```
data_Nd2Tl3ZnSe6
_symmetry_space_group_name_H-M 'C 1 2/m 1'
_symmetry_Int_Tables_number 12
_symmetry_space_group_name_Hall '-C 2y'
_cell_length_a 7.3601
_cell_length_b 12.6453
_cell_length_c 7.9061
_cell_angle_alpha 90.00
_cell_angle_beta 109.09
_cell_angle_gamma 90.00
loop_
_atom_site_label
_atom_site_fract_x
_atom_site_fract_y
_atom_site_fract_z
Nd1 0.0000 0.1641 0.0000
Tl1 0.0000 0.0000 0.5000
Tl2 0.0000 0.3258 0.5000
Zn1 0.0000 0.5000 0.0000
Se1 0.2220 0.3472 0.2021
Se2 0.2468 0.0000 0.2262
```

Values from the calculation:
V	348	Å³/f.u.
E_form (uncorrected)	-93.44	kJ per mole of atoms
E	-100.9	eV/cell


No. 17
The following is a DFT calculation (PBE) of a relaxed SrTb2Cd9 crystal.

```
data_SrTb2Cd9
_symmetry_space_group_name_H-M 'R -3 m'
_symmetry_Int_Tables_number 166
_symmetry_space_group_name_Hall '-R 3 2"'
_cell_length_a 6.0506
_cell_length_b 6.0506
_cell_length_c 28.5509
_cell_angle_alpha 90.00
_cell_angle_beta 90.00
_cell_angle_gamma 120.00
loop_
_atom_site_label
_atom_site_fract_x
_atom_site_fract_y
_atom_site_fract_z
Sr1 0.0000 0.0000 0.0000
Tb1 0.0000 0.0000 0.1449
Cd1 0.0000 0.0000 0.3357
Cd2 0.0000 0.0000 0.5000
Cd3 0.0095 0.5048 0.9136
```

Values from the calculation:
V	302	Å³/f.u.
energy relative to the elements	-0.2429	eV per atom
E	-66.3	eV/cell